(1)
Compound: FeSi2Ir
Source: Alexandria
Functional: GGA-PBEsol
Structure: optimized geometry

abc: 2.8222 4.1926 4.4273
angles: 104.29 108.59 90.00
Closest atoms and distances in Å follow each position.
Atoms (fractional coordinates):
Fe: 0.5120 0.5881 0.0240  5 Si 2.37-2.38
Ir: 0.7437 0.1892 0.4874  7 Si 2.38-2.54
Si: 0.9981 0.0373 0.9962  2 Fe 2.38, 3 Ir 2.38-2.44, 2 Si 2.65
Si: 0.2462 0.6854 0.4925  3 Fe 2.37, 4 Ir 2.51-2.54, 2 Si 2.65

The calculation puts the density of states at the Fermi level at 0.6534 states/eV/atom. Its space-group type is No. 8. The value obtained for the formation energy from raw total energies is -0.564 eV/atom. The value obtained for the calculated volume is 47.9 Å³ per cell. Its theoretical density is 10.54 g/cm³.


(2)
Compound: Ti2Sb
Source: Alexandria
Functional: GGA-PBEsol
Structure: optimized geometry

abc: 3.8538 3.8538 7.8641
angles: 104.18 104.18 90.00
Closest atoms and distances in Å follow each position.
Atoms (fractional coordinates):
Sb: 0.6390 0.6390 0.2780  9 Ti 2.76-2.81
Sb: 0.3610 0.3610 0.7220  9 Ti 2.76-2.81
Ti: 0.8259 0.8259 0.6517  5 Sb 2.76-2.77
Ti: 0.1741 0.1741 0.3483  5 Sb 2.76-2.77
Ti: 0.5000 0.0000 0.0000  4 Ti 2.73, 4 Sb 2.81
Ti: 0.0000 0.5000 0.0000  4 Ti 2.73, 4 Sb 2.81

The calculation puts the density of states at the Fermi level at 0.8926 states/eV/atom. Its space-group type is No. 139. The value obtained for the formation energy from raw total energies is -0.518 eV/atom. The value obtained for the calculated volume is 109.6 Å³ per cell. Its theoretical density is 6.59 g/cm³.


(3)
Compound: Fe2CoPt
Source: Alexandria
Functional: GGA-PBEsol
Structure: optimized geometry

abc: 2.6092 4.4448 4.4448
angles: 108.83 90.00 90.00
Closest atoms and distances in Å follow each position.
Atoms (fractional coordinates):
Co: 0.5000 0.5000 0.5000  8 Fe 2.58, 2 Pt 2.59, 2 Co 2.61
Fe: 0.0000 0.5000 0.0000  4 Co 2.58, 4 Pt 2.58, 4 Fe 2.59-2.61
Fe: 0.0000 0.0000 0.5000  4 Pt 2.58, 4 Co 2.58, 4 Fe 2.59-2.61
Pt: 0.5000 0.0000 0.0000  8 Fe 2.58, 2 Co 2.59, 2 Pt 2.61

Its energy relative to the elements is -31 meV per atom. The calculation puts the density of states at the Fermi level at 0.9113 states/eV/atom. Its space-group type is No. 65. The value obtained for the calculated volume is 48.8 Å³ per cell. Its theoretical density is 12.45 g/cm³.